# BaFeSb2

A PBEsol-optimized structure of BaFeSb2 (SCAN, Alexandria via LeMat-Bulk).

formation energy without anion corrections = 46 meV/atom
VASP energy = -33.004 eV/atom

a b c (Å): 4.706 4.756 4.756
angles (deg): 90.00 90.00 90.00
Last column: magnetic moment on the atom in μB.
Atoms (fractional coordinates):
Fe (0.500, 0.000, 0.000)  3.17
Sb (0.000, 0.000, 0.500)  -0.01
Sb (0.000, 0.500, 0.000)  -0.01
Ba (0.500, 0.500, 0.500)  -0.02